Arrangement A

Crystalline KBeBiCl2 at its relaxed geometry. Source: Alexandria via LeMat-Bulk, functional PBE.

Unit cell a=5.5393 b=5.7548 c=5.5393 alpha=90.00 beta=90.00 gamma=90.00
Atoms (fractional coordinates):
Bi (0.5000, 0.5000, 0.5000)
Be (0.0000, 0.5000, 0.0000)
K (0.0000, 0.0000, 0.0000)
Cl (0.5000, 0.0000, 0.0000)
Cl (0.0000, 0.0000, 0.5000)

total moment	1.8	Bohr magnetons per cell
symmetry	No. 123

=====

Arrangement B

Crystalline KBeBiCl2 at its relaxed geometry. Source: Alexandria via LeMat-Bulk, functional PBE.

Unit cell a=4.5440 b=9.7011 c=4.5440 alpha=90.00 beta=90.00 gamma=90.00
Atoms (fractional coordinates):
Bi (0.5000, 0.5000, 0.5000)
K (0.0000, 0.5000, 0.0000)
Cl (0.5000, 0.0000, 0.0000)
Cl (0.0000, 0.0000, 0.5000)
Be (0.0000, 0.0000, 0.0000)

total moment	1.6	Bohr magnetons per cell
symmetry	No. 123

=====

Most stable to least stable, the ends of the list are arrangement B and arrangement A.